Compound: PW3F
Source: Alexandria
Functional: GGA+U
Structure: optimized geometry

Summary:
The offset from the most stable computed form comes out at 0 meV per atom. The magnetic moment comes out at 3.93 μB/cell. Its energy is -4.381 eV per atom.

Lattice parameters (Å, degrees): 4.602 4.602 4.602 90.00 90.00 90.00
Fractional positions:
W: 0.000 0.500 0.000
W: 0.500 0.000 0.000
W: 0.000 0.000 0.500
P: 0.000 0.000 0.000
F: 0.500 0.500 0.500